[1]
Density functional theory data (GGA-PBE) for a geometry-optimized NdYSbBr2 structure.

## Properties
Electronic total energy: -26.23 eV per cell
Space-group type: No. 156

a b c (Å): 4.2944 4.2944 10.9662
angles (deg): 90.00 90.00 120.00
With the nearest neighbours (Å) after each atom.
Fractional positions:
Nd  0.0000  0.0000  0.0000  3 Br 3.05, 3 Sb 3.09
Y  0.6667  0.3333  0.6774  3 Br 3.00, 3 Sb 3.00
Sb  0.3333  0.6667  0.8317  3 Y 3.00, 3 Nd 3.09
Br  0.0000  0.0000  0.5237  3 Y 3.00
Br  0.6667  0.3333  0.1626  3 Nd 3.05

[2]
Density functional theory data (GGA-PBE) for a geometry-optimized CoBOsAu structure.

## Properties
Relative energy among the computed polymorphs: 0.00 eV per formula unit
Space-group type: No. 216

a b c (Å): 4.1700 4.1700 4.1700
angles (deg): 60.00 60.00 60.00
With the nearest neighbours (Å) after each atom.
Fractional positions:
Co  0.0000  0.0000  0.0000  4 B 2.55, 4 Au 2.55
B  0.7500  0.7500  0.7500  4 Co 2.55, 4 Os 2.55
Os  0.5000  0.5000  0.5000  4 B 2.55, 4 Au 2.55
Au  0.2500  0.2500  0.2500  4 Co 2.55, 4 Os 2.55

[3]
Density functional theory data (GGA-PBE) for a geometry-optimized CsNbNO structure.

## Properties
Relative energy among the computed polymorphs: 0.00 eV per formula unit
Space-group type: No. 26

a b c (Å): 3.5191 7.5886 6.3931
angles (deg): 90.00 90.00 90.00
With the nearest neighbours (Å) after each atom.
Fractional positions:
Cs  0.0000  0.1544  0.0000  2 O 3.01, 3 N 3.08-3.33
Cs  0.0000  0.8456  0.5000  2 O 3.01, 3 N 3.08-3.33
Nb  0.5000  0.3699  0.5078  2 O 1.94-2.01, 2 N 1.98
Nb  0.5000  0.6301  0.0078  2 O 1.94-2.01, 2 N 1.98
N  0.0000  0.2520  0.4929  2 Nb 1.98
N  0.0000  0.7480  0.9929  2 Nb 1.98
O  0.5000  0.4347  0.8123  2 Nb 1.94-2.01
O  0.5000  0.5653  0.3123  2 Nb 1.94-2.01

[4]
Density functional theory data (GGA-PBE) for a geometry-optimized ZnIr2Se4 structure.

## Properties
Electronic total energy: -71.12 eV per cell
Space-group type: No. 227

a b c (Å): 7.4984 7.4984 7.4984
angles (deg): 60.00 60.00 60.00
With the nearest neighbours (Å) after each atom.
Fractional positions:
Zn  0.1250  0.1250  0.1250  4 Se 2.56
Zn  0.8750  0.8750  0.8750  4 Se 2.56
Ir  0.0000  0.5000  0.5000  6 Se 2.51
Ir  0.5000  0.0000  0.5000  6 Se 2.51
Ir  0.5000  0.5000  0.0000  6 Se 2.51
Ir  0.5000  0.5000  0.5000  6 Se 2.51
Se  0.2642  0.2642  0.2642  3 Ir 2.51, 1 Zn 2.56
Se  0.2642  0.2642  0.7075  3 Ir 2.51, 1 Zn 2.56
Se  0.2642  0.7075  0.2642  3 Ir 2.51, 1 Zn 2.56
Se  0.2925  0.7358  0.7358  3 Ir 2.51, 1 Zn 2.56
Se  0.7075  0.2642  0.2642  3 Ir 2.51, 1 Zn 2.56
Se  0.7358  0.2925  0.7358  3 Ir 2.51, 1 Zn 2.56
Se  0.7358  0.7358  0.2925  3 Ir 2.51, 1 Zn 2.56
Se  0.7358  0.7358  0.7358  3 Ir 2.51, 1 Zn 2.56

[5]
Density functional theory data (GGA-PBE) for a geometry-optimized LiUB structure.

## Properties
Relative energy among the computed polymorphs: 0.00 eV per formula unit
Space-group type: No. 216

a b c (Å): 4.1057 4.1057 4.1057
angles (deg): 60.00 60.00 60.00
With the nearest neighbours (Å) after each atom.
Fractional positions:
Li  0.0000  0.0000  0.0000  4 B 2.51
U  0.5000  0.5000  0.5000  4 B 2.51
B  0.2500  0.2500  0.2500  4 U 2.51, 4 Li 2.51

[6]
Density functional theory data (GGA-PBE) for a geometry-optimized LuBeFeBi structure.

## Properties
Relative energy among the computed polymorphs: 0.32 eV per formula unit
Space-group type: No. 216

a b c (Å): 4.6506 4.6506 4.6506
angles (deg): 60.00 60.00 60.00
With the nearest neighbours (Å) after each atom.
Fractional positions:
Lu  0.0000  0.0000  0.0000  4 Be 2.85, 4 Bi 2.85
Be  0.7500  0.7500  0.7500  4 Fe 2.85, 4 Lu 2.85
Fe  0.5000  0.5000  0.5000  4 Bi 2.85, 4 Be 2.85
Bi  0.2500  0.2500  0.2500  4 Fe 2.85, 4 Lu 2.85

[7]
Density functional theory data (GGA-PBE) for a geometry-optimized Nb2GaMo structure.

## Properties
Electronic total energy: -34.06 eV per cell
Space-group type: No. 216

a b c (Å): 4.5607 4.5607 4.5607
angles (deg): 60.00 60.00 60.00
With the nearest neighbours (Å) after each atom.
Fractional positions:
Nb  0.0000  0.0000  0.0000  4 Mo 2.79, 4 Nb 2.79
Nb  0.2500  0.2500  0.2500  4 Nb 2.79, 4 Ga 2.79
Ga  0.5000  0.5000  0.5000  4 Mo 2.79, 4 Nb 2.79
Mo  0.7500  0.7500  0.7500  4 Nb 2.79, 4 Ga 2.79

[8]
Density functional theory data (GGA-PBE) for a geometry-optimized GaGe2Mo2 structure.

## Properties
Electronic total energy: -33.20 eV per cell
Space-group type: No. 139

a b c (Å): 7.0813 7.0813 7.0813
angles (deg): 151.09 151.09 41.35
With the nearest neighbours (Å) after each atom.
Fractional positions:
Ga  0.0000  0.0000  0.0000  8 Mo 2.83
Ge  0.2500  0.7500  0.5000  4 Ge 2.50, 4 Mo 2.67
Ge  0.7500  0.2500  0.5000  4 Ge 2.50, 4 Mo 2.67
Mo  0.4006  0.4006  0.0000  1 Mo 2.64, 4 Ge 2.67, 4 Ga 2.83
Mo  0.5994  0.5994  0.0000  1 Mo 2.64, 4 Ge 2.67, 4 Ga 2.83

[9]
Density functional theory data (GGA-PBE) for a geometry-optimized TbAgSnS3 structure.

## Properties
Relative energy among the computed polymorphs: 0.32 eV per formula unit
Space-group type: No. 63

a b c (Å): 6.8217 6.8217 10.4052
angles (deg): 90.00 90.00 145.87
With the nearest neighbours (Å) after each atom.
Fractional positions:
Tb  0.0000  0.0000  0.0000  6 S 2.78-2.86
Tb  0.0000  0.0000  0.5000  6 S 2.78-2.86
Ag  0.4627  0.5373  0.7500  4 S 2.48-2.61
Ag  0.5373  0.4627  0.2500  4 S 2.48-2.61
Sn  0.2528  0.7472  0.2500  2 S 2.86
Sn  0.7472  0.2528  0.7500  2 S 2.86
S  0.0911  0.9089  0.7500  2 Ag 2.61, 2 Sn 2.86, 2 Tb 2.86
S  0.3575  0.6425  0.5518  1 Ag 2.48
S  0.3575  0.6425  0.9482  1 Ag 2.48
S  0.6425  0.3575  0.0518  1 Ag 2.48
S  0.6425  0.3575  0.4482  1 Ag 2.48
S  0.9089  0.0911  0.2500  2 Ag 2.61, 2 Sn 2.86, 2 Tb 2.86

[10]
Density functional theory data (GGA-PBE) for a geometry-optimized RbHg2Sb6 structure.

## Properties
Electronic total energy: -26.70 eV per cell
Space-group type: No. 12

a b c (Å): 7.5350 7.5350 10.1678
angles (deg): 114.66 114.66 33.60
With the nearest neighbours (Å) after each atom.
Fractional positions:
Rb  0.0000  0.0000  0.0000  2 Hg 3.50, 8 Sb 3.65-3.73
Hg  0.0074  0.0074  0.6603  1 Hg 3.17, 4 Sb 3.47-3.50, 1 Rb 3.50
Hg  0.9926  0.9926  0.3397  1 Hg 3.17, 4 Sb 3.47-3.50, 1 Rb 3.50
Sb  0.3210  0.3210  0.0644  2 Sb 2.88
Sb  0.3216  0.3216  0.3852  4 Sb 2.93-3.26
Sb  0.3288  0.3288  0.6924  3 Sb 2.93-3.08
Sb  0.6712  0.6712  0.3076  3 Sb 2.93-3.08
Sb  0.6784  0.6784  0.6148  4 Sb 2.93-3.26
Sb  0.6790  0.6790  0.9356  2 Sb 2.88